VASP calculation (PBE) on a geometry-optimized FeTe2W structure.

* total moment: 4.22 μB/cell
* final energy: -6.52 eV/atom
* excess energy over the best structure of this formula in the dataset: 0.436 eV per atom
* formation energy (no corrections): 0.400 eV/atom

abc: 3.581 3.677 14.665
angles: 90.00 90.00 90.00
Fractional positions:
Fe: 0.000 0.000 0.000
Fe: 0.500 0.500 0.500
Te: 0.000 0.000 0.451
Te: 0.000 0.500 0.700
Te: 0.500 0.000 0.200
Te: 0.500 0.500 0.951
W: 0.000 0.500 0.109
W: 0.500 0.000 0.609